# TlPb2S3 | Alexandria | PBE | optimized geometry
data_TlPb2S3
_cell_length_a 4.2418
_cell_length_b 5.8718
_cell_length_c 12.7613
_cell_angle_alpha 90.00
_cell_angle_beta 90.00
_cell_angle_gamma 90.00
_space_group_name_H-M_alt 'I m m m'
_space_group_IT_number 71
_space_group_name_Hall '-I 2 2'
loop_
_atom_site_label
_atom_site_type_symbol
_atom_site_fract_x
_atom_site_fract_y
_atom_site_fract_z
Tl1 Tl 0.0000 0.0000 0.0000
Pb1 Pb 0.0000 0.0000 0.3309
S1 S 0.0000 0.5000 0.0000
S2 S 0.0000 0.5000 0.3294
# - Energy: -4.102 eV per atom
# - ΔE_f (raw): -0.41 eV/atom


# Tl3PbS3 | Alexandria | PBE | optimized geometry
data_Tl3PbS3
_cell_length_a 9.1897
_cell_length_b 15.8955
_cell_length_c 6.6287
_cell_angle_alpha 90.00
_cell_angle_beta 90.00
_cell_angle_gamma 90.00
_space_group_name_H-M_alt 'C m c m'
_space_group_IT_number 63
_space_group_name_Hall '-C 2c 2'
loop_
_atom_site_label
_atom_site_type_symbol
_atom_site_fract_x
_atom_site_fract_y
_atom_site_fract_z
Tl1 Tl 0.0000 0.1947 0.2500
Tl2 Tl 0.2075 0.4027 0.2500
Pb1 Pb 0.0000 0.3331 0.7500
S1 S 0.0000 0.1699 0.7500
S2 S 0.2443 0.4150 0.7500
# - Energy: -3.476 eV per atom
# - ΔE_f (raw): -0.16 eV/atom


# TlPbS2 | Alexandria | PBE | optimized geometry
data_TlPbS2
_cell_length_a 4.1074
_cell_length_b 4.1074
_cell_length_c 21.9397
_cell_angle_alpha 90.00
_cell_angle_beta 90.00
_cell_angle_gamma 120.00
_space_group_name_H-M_alt 'R 3 m'
_space_group_IT_number 160
_space_group_name_Hall 'R 3 -2"'
loop_
_atom_site_label
_atom_site_type_symbol
_atom_site_fract_x
_atom_site_fract_y
_atom_site_fract_z
Tl1 Tl 0.0000 0.0000 0.0000
Pb1 Pb 0.0000 0.0000 0.1703
S1 S 0.0000 0.0000 0.5806
S2 S 0.0000 0.0000 0.7602
# - Energy: -3.874 eV per atom
# - ΔE_f (raw): -0.29 eV/atom


# Tl3Pb4S8 | Alexandria | PBE | optimized geometry
data_Tl3Pb4S8
_cell_length_a 11.5530
_cell_length_b 11.7406
_cell_length_c 8.1511
_cell_angle_alpha 90.00
_cell_angle_beta 134.22
_cell_angle_gamma 90.00
_space_group_name_H-M_alt 'C 1 2/m 1'
_space_group_IT_number 12
_space_group_name_Hall '-C 2y'
loop_
_atom_site_label
_atom_site_type_symbol
_atom_site_fract_x
_atom_site_fract_y
_atom_site_fract_z
Tl1 Tl 0.0000 0.0000 0.0000
Tl2 Tl 0.2500 0.2500 0.5000
Pb1 Pb 0.0000 0.0000 0.5000
Pb2 Pb 0.0000 0.5000 0.0000
Pb3 Pb 0.2500 0.2500 0.0000
S1 S 0.0000 0.2473 0.5000
S2 S 0.0000 0.2497 0.0000
S3 S 0.2437 0.0000 0.9962
S4 S 0.2465 0.0000 0.4927
# - Energy: -3.932 eV per atom
# - ΔE_f (raw): -0.27 eV/atom


# TlPbS2 | Alexandria | PBE | optimized geometry
data_TlPbS2
_cell_length_a 3.9661
_cell_length_b 3.9661
_cell_length_c 27.1781
_cell_angle_alpha 90.00
_cell_angle_beta 90.00
_cell_angle_gamma 120.00
_space_group_name_H-M_alt 'R -3 m'
_space_group_IT_number 166
_space_group_name_Hall '-R 3 2"'
loop_
_atom_site_label
_atom_site_type_symbol
_atom_site_fract_x
_atom_site_fract_y
_atom_site_fract_z
Tl1 Tl 0.0000 0.0000 0.0000
Pb1 Pb 0.0000 0.0000 0.5000
S1 S 0.0000 0.0000 0.1080
# - Energy: -3.687 eV per atom
# - ΔE_f (raw): -0.11 eV/atom


# Tl2Pb2S3 | Alexandria | PBE | optimized geometry
data_Tl2Pb2S3
_cell_length_a 14.1122
_cell_length_b 4.2185
_cell_length_c 7.0322
_cell_angle_alpha 90.00
_cell_angle_beta 95.04
_cell_angle_gamma 90.00
_space_group_name_H-M_alt 'C 1 2/m 1'
_space_group_IT_number 12
_space_group_name_Hall '-C 2y'
loop_
_atom_site_label
_atom_site_type_symbol
_atom_site_fract_x
_atom_site_fract_y
_atom_site_fract_z
Tl1 Tl 0.1144 0.0000 0.3881
Pb1 Pb 0.1304 0.5000 0.8790
S1 S 0.0000 0.0000 0.0000
S2 S 0.2291 0.5000 0.2255
# - Energy: -3.941 eV per atom
# - ΔE_f (raw): -0.44 eV/atom


# Tm2Tl3PbS6 | Alexandria | PBE | optimized geometry
data_Tm2Tl3PbS6
_cell_length_a 7.0651
_cell_length_b 12.2595
_cell_length_c 7.6311
_cell_angle_alpha 90.00
_cell_angle_beta 107.56
_cell_angle_gamma 90.00
_space_group_name_H-M_alt 'C 1 2/m 1'
_space_group_IT_number 12
_space_group_name_Hall '-C 2y'
loop_
_atom_site_label
_atom_site_type_symbol
_atom_site_fract_x
_atom_site_fract_y
_atom_site_fract_z
Tm1 Tm 0.0000 0.1682 0.0000
Tl1 Tl 0.0000 0.0000 0.5000
Tl2 Tl 0.0000 0.3357 0.5000
Pb1 Pb 0.0000 0.5000 0.0000
S1 S 0.2105 0.0000 0.2026
S2 S 0.2467 0.3218 0.2076
# - Energy: -4.792 eV per atom
# - ΔE_f (raw): -1.08 eV/atom


# UTl2PbS4 | Alexandria | PBE | optimized geometry
data_UTl2PbS4
_cell_length_a 7.2989
_cell_length_b 4.1388
_cell_length_c 7.7902
_cell_angle_alpha 90.00
_cell_angle_beta 107.56
_cell_angle_gamma 90.00
_space_group_name_H-M_alt 'P 1 2/m 1'
_space_group_IT_number 10
_space_group_name_Hall '-P 2y'
loop_
_atom_site_label
_atom_site_type_symbol
_atom_site_fract_x
_atom_site_fract_y
_atom_site_fract_z
U1 U 0.0000 0.0000 0.0000
Tl1 Tl 0.0000 0.5000 0.5000
Tl2 Tl 0.5000 0.0000 0.5000
Pb1 Pb 0.5000 0.5000 0.0000
S1 S 0.2109 0.5000 0.1984
S2 S 0.2336 0.0000 0.7946
# - Energy: -5.343 eV per atom
# - ΔE_f (raw): -0.81 eV/atom